# GaSbTeN2 PBE relaxed
# E_form (uncorrected): 1.125 eV per atom
# Total moment: 1.0 μB per cell
# Total energy: -4.2638 eV per atom
data_GaSbTeN2
_space_group_name_H-M_alt 'P 4/m m m'
_space_group_IT_number 123
_space_group_name_Hall '-P 4 2'
_cell_length_a 4.0548
_cell_length_b 4.0548
_cell_length_c 6.6185
_cell_angle_alpha 90.00
_cell_angle_beta 90.00
_cell_angle_gamma 90.00
loop_
_atom_site_label
_atom_site_type_symbol
_atom_site_fract_x
_atom_site_fract_y
_atom_site_fract_z
Ga1 Ga 0.0000 0.0000 0.0000
Sb1 Sb 0.5000 0.5000 0.5000
Te1 Te 0.5000 0.5000 0.0000
N1 N 0.0000 0.5000 0.5000